Compound: DyEr3Rh8
Source: Alexandria
Functional: PBE
Structure: optimized geometry

Output
Total moment (μB per formula unit): 0.00
Polymorph energy (0 for the lowest one) (eV per atom): 0.000
D(E_F) (states/eV per atom): 0.60
Calculated total energy (eV per atom): -7.19
ΔH_f (0 K) (eV/f.u.): -9.1

The structure in extended XYZ format:
```
12
Lattice="2.660 1.536 8.683 -2.660 1.536 8.683 0.000 -3.072 8.683" Properties=species:S:1:pos:R:3 pbc="T T T"
Dy 0.000 0.000 0.000
Er 0.000 0.000 9.770
Er 0.000 0.000 13.030
Er 0.000 0.000 22.784
Rh 0.000 0.000 4.883
Rh 0.000 -1.535 15.732
Rh -1.330 0.768 15.732
Rh -1.329 -0.767 20.084
Rh 0.000 0.000 17.909
Rh 1.330 0.768 15.732
Rh 1.329 -0.767 20.084
Rh 0.000 1.535 20.084
```

Compound: KAc2Cr2N6
Source: Alexandria
Functional: PBE
Structure: optimized geometry

Output
Total moment (μB per formula unit): 1.02
D(E_F) (states/eV per atom): 0.32
Calculated total energy (eV per atom): -7.73

The structure in extended XYZ format:
```
11
Lattice="5.937 0.000 0.000 2.525 5.792 0.000 2.877 1.956 5.970" Properties=species:S:1:pos:R:3 pbc="T T T"
K 0.000 0.000 0.000
Ac 3.126 2.247 1.820
Ac 8.213 5.501 4.150
Cr 5.488 4.474 1.908
Cr 5.851 3.274 4.062
N 3.877 4.890 2.233
N 5.748 4.545 5.199
N 4.706 2.016 4.038
N 6.633 5.732 1.932
N 5.591 3.203 0.772
N 7.463 2.858 3.737
```

What is the formula in the second record?
KAc2Cr2N6

What did the second record say?
Compound: KAc2Cr2N6
Source: Alexandria
Functional: PBE
Structure: optimized geometry

Output
Total moment (μB per formula unit): 1.02
D(E_F) (states/eV per atom): 0.32
Calculated total energy (eV per atom): -7.73

The structure in extended XYZ format:
```
11
Lattice="5.937 0.000 0.000 2.525 5.792 0.000 2.877 1.956 5.970" Properties=species:S:1:pos:R:3 pbc="T T T"
K 0.000 0.000 0.000
Ac 3.126 2.247 1.820
Ac 8.213 5.501 4.150
Cr 5.488 4.474 1.908
Cr 5.851 3.274 4.062
N 3.877 4.890 2.233
N 5.748 4.545 5.199
N 4.706 2.016 4.038
N 6.633 5.732 1.932
N 5.591 3.203 0.772
N 7.463 2.858 3.737
```